1.
The following is a PBE calculation of an optimized crystal structure of Eu3Dy12Pt5, from the Alexandria database.

Unit cell a=15.4672 b=15.4672 c=15.4672 alpha=109.47 beta=109.47 gamma=109.47
Last column: nearest neighbours and their distance in Å.
Sites, in units of the cell vectors:
Pt: 0.5000 0.0000 0.5000  6 Dy 2.77
Pt: 0.5000 0.0000 0.0000  6 Dy 2.77
Pt: 0.5000 0.5000 0.0000  6 Dy 2.77
Pt: 0.2500 0.8750 0.1250  4 Dy 2.70
Pt: 0.3750 0.1250 0.7500  4 Dy 2.70
Pt: 0.0000 0.0000 0.5000  6 Dy 2.77
Pt: 0.5000 0.5000 0.5000  6 Dy 2.77
Pt: 0.1250 0.3750 0.2500  4 Dy 2.70
Pt: 0.2500 0.3750 0.6250  4 Dy 2.70
Pt: 0.3750 0.2500 0.1250  4 Dy 2.70
Pt: 0.7500 0.6250 0.3750  4 Dy 2.70
Pt: 0.0000 0.5000 0.0000  6 Dy 2.77
Pt: 0.0000 0.5000 0.5000  6 Dy 2.77
Pt: 0.7500 0.1250 0.8750  4 Dy 2.70
Pt: 0.6250 0.8750 0.2500  4 Dy 2.70
Pt: 0.6250 0.7500 0.8750  4 Dy 2.70
Pt: 0.0000 0.0000 0.0000  6 Dy 2.77
Pt: 0.8750 0.2500 0.6250  4 Dy 2.70
Pt: 0.8750 0.6250 0.7500  4 Dy 2.70
Pt: 0.1250 0.7500 0.3750  4 Dy 2.70
Dy: 0.6794 0.1955 0.5993  2 Pt 2.70-2.77
Dy: 0.1794 0.0802 0.9839  2 Pt 2.70-2.77
Dy: 0.9007 0.8206 0.8045  2 Pt 2.70-2.77
Dy: 0.5802 0.9839 0.6794  2 Pt 2.70-2.77
Dy: 0.9839 0.5802 0.1794  2 Pt 2.70-2.77
Dy: 0.5963 0.5802 0.9007  2 Pt 2.70-2.77
Dy: 0.3045 0.9037 0.9839  2 Pt 2.70-2.77
Dy: 0.0161 0.5963 0.6955  2 Pt 2.70-2.77
Dy: 0.8045 0.4839 0.4037  2 Pt 2.70-2.77
Dy: 0.0802 0.9007 0.0963  2 Pt 2.70-2.77
Dy: 0.8206 0.9007 0.3045  2 Pt 2.70-2.77
Dy: 0.8045 0.3206 0.9007  2 Pt 2.70-2.77
Dy: 0.4839 0.8045 0.9037  2 Pt 2.70-2.77
Dy: 0.6794 0.4839 0.5802  2 Pt 2.70-2.77
Dy: 0.4198 0.0161 0.3206  2 Pt 2.70-2.77
Dy: 0.3206 0.5161 0.4198  2 Pt 2.70-2.77
Dy: 0.9007 0.0802 0.5963  2 Pt 2.70-2.77
Dy: 0.6955 0.5993 0.1794  2 Pt 2.70-2.77
Dy: 0.8206 0.9198 0.0161  2 Pt 2.70-2.77
Dy: 0.9198 0.0993 0.9037  2 Pt 2.70-2.77
Dy: 0.6955 0.0963 0.0161  2 Pt 2.70-2.77
Dy: 0.4839 0.6794 0.0802  2 Pt 2.70-2.77
Dy: 0.4007 0.3045 0.3206  2 Pt 2.70-2.77
Dy: 0.5963 0.0161 0.1955  2 Pt 2.70-2.77
Dy: 0.3045 0.4007 0.8206  2 Pt 2.70-2.77
Dy: 0.5802 0.5963 0.4007  2 Pt 2.70-2.77
Dy: 0.4037 0.4198 0.0993  2 Pt 2.70-2.77
Dy: 0.9198 0.8206 0.5161  2 Pt 2.70-2.77
Dy: 0.0161 0.4198 0.8206  2 Pt 2.70-2.77
Dy: 0.1955 0.6794 0.0993  2 Pt 2.70-2.77
Dy: 0.3206 0.8045 0.4007  2 Pt 2.70-2.77
Dy: 0.5993 0.9037 0.4198  2 Pt 2.70-2.77
Dy: 0.9037 0.5993 0.9198  2 Pt 2.70-2.77
Dy: 0.1794 0.0993 0.6955  2 Pt 2.70-2.77
Dy: 0.0802 0.1794 0.4839  2 Pt 2.70-2.77
Dy: 0.5161 0.1955 0.0963  2 Pt 2.70-2.77
Dy: 0.9839 0.4037 0.3045  2 Pt 2.70-2.77
Dy: 0.0993 0.1794 0.1955  2 Pt 2.70-2.77
Dy: 0.4037 0.9839 0.8045  2 Pt 2.70-2.77
Dy: 0.4198 0.4037 0.5993  2 Pt 2.70-2.77
Dy: 0.5161 0.3206 0.9198  2 Pt 2.70-2.77
Dy: 0.0963 0.6955 0.5161  2 Pt 2.70-2.77
Dy: 0.1955 0.5161 0.5963  2 Pt 2.70-2.77
Dy: 0.0993 0.9198 0.4037  2 Pt 2.70-2.77
Dy: 0.0963 0.4007 0.0802  2 Pt 2.70-2.77
Dy: 0.9037 0.3045 0.4839  2 Pt 2.70-2.77
Dy: 0.4007 0.0963 0.5802  2 Pt 2.70-2.77
Dy: 0.5993 0.6955 0.6794  2 Pt 2.70-2.77
Eu: 0.2500 0.1250 0.3750  8 Dy 3.52-3.73
Eu: 0.2500 0.6250 0.8750  8 Dy 3.52-3.73
Eu: 0.7500 0.3750 0.1250  8 Dy 3.52-3.73
Eu: 0.1250 0.2500 0.8750  8 Dy 3.52-3.73
Eu: 0.3750 0.6250 0.2500  8 Dy 3.52-3.73
Eu: 0.1250 0.8750 0.7500  8 Dy 3.52-3.73
Eu: 0.8750 0.1250 0.2500  8 Dy 3.52-3.73
Eu: 0.3750 0.7500 0.6250  8 Dy 3.52-3.73
Eu: 0.6250 0.3750 0.7500  8 Dy 3.52-3.73
Eu: 0.8750 0.7500 0.1250  8 Dy 3.52-3.73
Eu: 0.6250 0.2500 0.3750  8 Dy 3.52-3.73
Eu: 0.7500 0.8750 0.6250  8 Dy 3.52-3.73

The calculation puts the formation energy at -0.145 eV per atom.

***

2.
The following is a PBE calculation of an optimized crystal structure of TiTePtI2, from the Alexandria database.

Unit cell a=5.4262 b=5.4262 c=5.4099 alpha=90.00 beta=90.00 gamma=90.00
Last column: nearest neighbours and their distance in Å.
Sites, in units of the cell vectors:
Te: 0.0000 0.0000 0.5000  2 Pt 2.70
I: 0.5000 0.0000 0.0000  2 Pt 2.71
I: 0.0000 0.5000 0.0000  2 Pt 2.71
Ti: 0.5000 0.5000 0.5000  8 I 3.83, 4 Te 3.84
Pt: 0.0000 0.0000 0.0000  2 Te 2.70, 4 I 2.71

For the uncorrected formation energy, the calculation gives 0.478 eV/atom. The calculation puts the distance to the lowest polymorph of the same formula at 0.000 eV/f.u.

***

3.
The following is a PBE calculation of an optimized crystal structure of TcTe2Pt, from the Alexandria database.

Unit cell a=6.2230 b=6.2230 c=2.9599 alpha=61.58 beta=61.58 gamma=84.71
Last column: nearest neighbours and their distance in Å.
Sites, in units of the cell vectors:
Pt: 0.5000 0.0000 0.5000  4 Te 2.74, 2 Pt 2.96
Te: 0.5000 0.5000 0.0000  2 Pt 2.74, 2 Tc 2.74, 2 Te 2.96
Te: 0.0000 0.0000 0.0000  2 Tc 2.74, 2 Pt 2.74, 2 Te 2.96
Tc: 0.0000 0.5000 0.5000  4 Te 2.74, 2 Tc 2.96

For the uncorrected formation energy, the calculation gives 0.458 eV/atom. The calculation puts the distance to the lowest polymorph of the same formula at 2.347 eV/f.u.

***

4.
The following is a PBE calculation of an optimized crystal structure of AcTb3Al8, from the Alexandria database.

Unit cell a=5.6500 b=5.6500 c=9.3368 alpha=90.00 beta=90.00 gamma=120.00
Last column: nearest neighbours and their distance in Å.
Sites, in units of the cell vectors:
Tb: 0.6667 0.3333 0.0665  12 Al 3.27-3.31, 4 Tb 3.38-3.49
Tb: 0.0000 0.0000 0.9325  12 Al 3.25-3.33, 1 Ac 3.41, 3 Tb 3.49
Tb: 0.6667 0.3333 0.4281  12 Al 3.32-3.48, 1 Tb 3.38, 3 Ac 3.51
Al: 0.6749 0.8375 0.2422  6 Al 2.75-2.90
Al: 0.3333 0.6667 0.0036  6 Al 2.79-2.82
Al: 0.1625 0.3251 0.2422  6 Al 2.75-2.90
Al: 0.9909 0.4954 0.7601  6 Al 2.75-2.99
Al: 0.5046 0.0091 0.7601  6 Al 2.75-2.99
Al: 0.3333 0.6667 0.4954  6 Al 2.90-2.99
Al: 0.1625 0.8375 0.2422  6 Al 2.75-2.90
Al: 0.5046 0.4954 0.7601  6 Al 2.75-2.99
Ac: 0.0000 0.0000 0.5670  12 Al 3.33-3.42, 4 Tb 3.41-3.51

The calculation puts the formation energy at -0.446 eV per atom. The calculation puts the distance to the lowest polymorph of the same formula at 0.103 eV/f.u.

***

5.
The following is a PBE calculation of an optimized crystal structure of Li3Al3Ag2, from the Alexandria database.

Unit cell a=5.0683 b=5.0683 c=5.0683 alpha=93.71 beta=93.71 gamma=86.29
Last column: nearest neighbours and their distance in Å.
Sites, in units of the cell vectors:
Ag: 0.2519 0.2519 0.7481  6 Li 2.80-2.86, 6 Al 2.80-2.88
Ag: 0.7481 0.7481 0.2519  6 Li 2.80-2.86, 6 Al 2.80-2.88
Li: 0.5000 0.2572 0.2572  2 Al 2.54, 2 Ag 2.80
Li: 0.2572 0.7428 0.5000  2 Al 2.54, 2 Ag 2.80
Li: 0.7428 0.5000 0.7428  2 Al 2.54, 2 Ag 2.80
Al: 0.0000 0.2403 0.2403  2 Li 2.54, 2 Ag 2.80
Al: 0.7597 0.0000 0.7597  2 Li 2.54, 2 Ag 2.80
Al: 0.2403 0.7597 0.0000  2 Li 2.54, 2 Ag 2.80

The calculation puts the formation energy at -0.133 eV per atom.

***

6.
The following is a PBE calculation of an optimized crystal structure of La8AuN4, from the Alexandria database.

Unit cell a=7.9039 b=7.9039 c=7.9039 alpha=60.00 beta=60.00 gamma=60.00
Last column: nearest neighbours and their distance in Å.
Sites, in units of the cell vectors:
N: 0.3723 0.8831 0.3723  6 La 2.60-2.62
N: 0.3723 0.3723 0.8831  6 La 2.60-2.62
N: 0.3723 0.3723 0.3723  6 La 2.60-2.62
N: 0.8831 0.3723 0.3723  6 La 2.60-2.62
La: 0.1408 0.1408 0.5776  3 N 2.60
La: 0.6042 0.6042 0.1875  3 N 2.62, 1 Au 2.82
La: 0.1408 0.1408 0.1408  3 N 2.60
La: 0.1408 0.5776 0.1408  3 N 2.60
La: 0.6042 0.1875 0.6042  3 N 2.62, 1 Au 2.82
La: 0.6042 0.6042 0.6042  3 N 2.62, 1 Au 2.82
La: 0.1875 0.6042 0.6042  3 N 2.62, 1 Au 2.82
La: 0.5776 0.1408 0.1408  3 N 2.60
Au: 0.7500 0.7500 0.7500  4 La 2.82

For the uncorrected formation energy, the calculation gives -0.793 eV/atom.

***

no.,uncorrected energy (eV/atom)
1,-5.958
2,-3.558
3,-5.214
4,-4.441
5,-2.967
6,-6.639